{"formula": "Pm2MgPdO6", "functional": "PBE-GGA", "state": "relaxed", "lattice": [[-0.261, 3.868, -3.855], [-5.707, -0.607, -0.222], [-0.797, 5.449, 5.572]], "species": ["O", "Pd", "Mg", "O", "O", "O", "Mg", "Pm", "Pd", "O", "O", "O", "Pm", "O", "Pm", "O", "Pm", "O", "O", "O"], "frac_coords": [[0.193, 0.203, 0.055], [0.000, 0.500, 0.000], [0.000, 0.500, 0.500], [0.807, 0.797, 0.945], [0.301, 0.698, 0.053], [0.307, 0.703, 0.445], [0.500, 0.000, 0.000], [0.018, 0.935, 0.251], [0.500, 0.000, 0.500], [0.103, 0.466, 0.752], [0.699, 0.302, 0.947], [0.801, 0.802, 0.553], [0.482, 0.435, 0.249], [0.897, 0.534, 0.248], [0.518, 0.565, 0.751], [0.603, 0.034, 0.252], [0.982, 0.065, 0.749], [0.693, 0.297, 0.555], [0.199, 0.198, 0.447], [0.397, 0.966, 0.748]], "energy_ev_per_cell": -140.397, "volume_a3_per_atom": 12.30}


{"formula": "In2S", "functional": "PBE-GGA", "state": "relaxed", "lattice": [[0.228, -4.638, 0.807], [5.236, 0.451, 1.111], [-1.420, 3.260, 5.371]], "species": ["In", "S", "In", "In", "In", "S"], "frac_coords": [[0.109, 0.750, 0.719], [0.750, 0.750, 0.000], [0.610, 0.250, 0.719], [0.390, 0.750, 0.281], [0.891, 0.250, 0.281], [0.250, 0.250, 0.000]], "energy_ev_per_cell": -20.277, "volume_a3_per_atom": 25.29}